The following is a GGA+U calculation of an optimized crystal structure of LaPaVO6, from the Alexandria database.

Calculated values
**Uncorrected energy**: -8.730 eV per atom
**Symmetry**: P-31c

abc: 5.522 5.522 10.168
angles: 90.00 90.00 120.00
Site moments in Bohr magnetons follow the coordinates.
Element x y z (fractional)
O 0.027 0.653 0.857  -0.03
O 0.347 0.374 0.857  -0.03
O 0.973 0.626 0.357  -0.03
O 0.973 0.347 0.143  -0.03
O 0.374 0.347 0.357  -0.03
O 0.653 0.027 0.357  -0.03
O 0.027 0.374 0.643  -0.03
O 0.347 0.973 0.643  -0.03
O 0.626 0.973 0.857  -0.03
O 0.653 0.626 0.143  -0.03
O 0.626 0.653 0.643  -0.03
O 0.374 0.027 0.143  -0.03
V 0.333 0.667 0.750  1.12
V 0.667 0.333 0.250  1.12
Pa 0.667 0.333 0.750  0.02
Pa 0.333 0.667 0.250  0.02
La 0.000 0.000 0.500  0.01
La 0.000 0.000 0.000  0.01